TcNiAu | GGA-PBE | optimized geometry

The value obtained for the energy relative to the elements is 0.068 eV per atom. As for the relative energy among the computed polymorphs: 0.00 eV per formula unit. The calculation puts the mass density at 13.5 g cm⁻³. The uncorrected energy comes out at -38.4 eV per cell.

The space group is P4/nmm (No. 129, origin choice 2) and the conventional cell measures 2.737, 2.737 and 11.642 Å, with angles of 90.00, 90.00 and 90.00 degrees. The inequivalent atoms are Tc at (0.250, 0.250, 0.085), Ni at (0.250, 0.250, 0.769) and Au at (0.250, 0.250, 0.399).

Tc2NiAu | GGA-PBE | optimized geometry

The value obtained for the energy relative to the elements is 0.563 eV per atom. As for the relative energy among the computed polymorphs: 1.72 eV per formula unit. The calculation puts the mass density at 12.8 g cm⁻³. The uncorrected energy comes out at -110.2 eV per cell.

The space group is Fm-3m (No. 225) and the conventional cell measures 6.173, 6.173 and 6.173 Å, with angles of 90.00, 90.00 and 90.00 degrees. The inequivalent atoms are Tc at (0.250, 0.250, 0.250), Ni at (0.000, 0.000, 0.000) and Au at (0.000, 0.000, 0.500).

Tc2NiAu | GGA-PBE | optimized geometry

The value obtained for the energy relative to the elements is 0.320 eV per atom. As for the relative energy among the computed polymorphs: 0.75 eV per formula unit. The calculation puts the mass density at 12.7 g cm⁻³. The uncorrected energy comes out at -28.5 eV per cell.

The space group is P4/mmm (No. 123) and the conventional cell measures 3.110, 3.110 and 6.122 Å, with angles of 90.00, 90.00 and 90.00 degrees. The inequivalent atoms are Tc at (0.000, 0.000, 0.199), Ni at (0.500, 0.500, 0.000) and Au at (0.500, 0.500, 0.500).

Tc4NiAu | GGA-PBE | optimized geometry

The value obtained for the energy relative to the elements is 0.560 eV per atom. The calculation puts the mass density at 11.5 g cm⁻³. The uncorrected energy comes out at -188.7 eV per cell.

The space group is F-43m (No. 216) and the conventional cell measures 7.215, 7.215 and 7.215 Å, with angles of 90.00, 90.00 and 90.00 degrees. The inequivalent atoms are Tc at (0.125, 0.125, 0.125), Ni at (0.000, 0.000, 0.500) and Au at (0.250, 0.250, 0.750).

TcNiAu | GGA-PBE | optimized geometry

The value obtained for the energy relative to the elements is 0.160 eV per atom. As for the relative energy among the computed polymorphs: 0.28 eV per formula unit. The calculation puts the mass density at 13.5 g cm⁻³. The uncorrected energy comes out at -37.9 eV per cell.

The space group is P2_1 (No. 4) and the conventional cell measures 2.807, 4.579 and 6.901 Å, with angles of 90.00, 101.19 and 90.00 degrees. The inequivalent atoms are Tc at (0.212, 0.000, 0.499), Ni at (0.414, 0.654, 0.798) and Au at (0.075, 0.657, 0.146).

TcNiAu | GGA-PBE | optimized geometry

The value obtained for the energy relative to the elements is 0.302 eV per atom. As for the relative energy among the computed polymorphs: 0.70 eV per formula unit. The calculation puts the mass density at 13.4 g cm⁻³. The uncorrected energy comes out at -37.0 eV per cell.

The space group is Imm2 (No. 44) and the conventional cell measures 2.711, 3.773 and 8.560 Å, with angles of 90.00, 90.00 and 90.00 degrees. The inequivalent atoms are Tc at (0.000, 0.000, 0.000), Ni at (0.000, 0.000, 0.362) and Au at (0.000, 0.000, 0.684).

TcNiAu | GGA-PBE | optimized geometry

The value obtained for the energy relative to the elements is 0.151 eV per atom. As for the relative energy among the computed polymorphs: 0.25 eV per formula unit. The calculation puts the mass density at 13.6 g cm⁻³. The uncorrected energy comes out at -75.9 eV per cell.

The space group is C2/m (No. 12) and the conventional cell measures 14.023, 2.784 and 4.446 Å, with angles of 90.00, 95.33 and 90.00 degrees. The inequivalent atoms are Tc at (0.221, 0.000, 0.243), Ni at (0.069, 0.500, 0.203) and Au at (0.095, 0.000, 0.710).

TcNiAu | GGA-PBE | optimized geometry

The value obtained for the energy relative to the elements is 0.132 eV per atom. As for the relative energy among the computed polymorphs: 0.19 eV per formula unit. The calculation puts the mass density at 13.3 g cm⁻³. The uncorrected energy comes out at -76.1 eV per cell.

The space group is Cmcm (No. 63) and the conventional cell measures 2.729, 14.915 and 4.352 Å, with angles of 90.00, 90.00 and 90.00 degrees. The inequivalent atoms are Tc at (0.000, 0.045, 0.250), Ni at (0.000, 0.399, 0.250) and Au at (0.000, 0.291, 0.750).

TcNi3Au | GGA-PBE | optimized geometry

The value obtained for the energy relative to the elements is 1.297 eV per atom. As for the relative energy among the computed polymorphs: 0.00 eV per formula unit. The calculation puts the mass density at 8.9 g cm⁻³. The uncorrected energy comes out at -24.5 eV per cell.

The space group is Pm-3m (No. 221) and the conventional cell measures 4.442, 4.442 and 4.442 Å, with angles of 90.00, 90.00 and 90.00 degrees. The inequivalent atoms are Tc at (0.000, 0.000, 0.000), Ni at (0.000, 0.000, 0.500) and Au at (0.500, 0.500, 0.500).

Tc2NiAu | GGA-PBE | optimized geometry

The value obtained for the energy relative to the elements is 0.171 eV per atom. As for the relative energy among the computed polymorphs: 0.15 eV per formula unit. The calculation puts the mass density at 12.9 g cm⁻³. The uncorrected energy comes out at -29.1 eV per cell.

The space group is Pmm2 (No. 25) and the conventional cell measures 2.734, 3.833 and 5.564 Å, with angles of 90.00, 90.00 and 90.00 degrees. The inequivalent atoms are Tc at (0.000, 0.000, 0.000), Tc at (0.500, 0.500, 0.218), Ni at (0.500, 0.500, 0.758) and Au at (0.000, 0.000, 0.510).

TcNiAu | GGA-PBE | optimized geometry

The value obtained for the energy relative to the elements is 0.224 eV per atom. As for the relative energy among the computed polymorphs: 0.47 eV per formula unit. The calculation puts the mass density at 13.4 g cm⁻³. The uncorrected energy comes out at -18.8 eV per cell.

The space group is P3m1 (No. 156) and the conventional cell measures 2.7569, 2.7569 and 6.6755 Å, with angles of 90.00, 90.00 and 120.00 degrees. The inequivalent atoms are Tc at (0.0000, 0.0000, 0.0000), Ni at (0.6667, 0.3333, 0.7059) and Au at (0.3333, 0.6667, 0.3679).

TcNiAu | GGA-PBE | optimized geometry

The value obtained for the energy relative to the elements is 0.124 eV per atom. As for the relative energy among the computed polymorphs: 0.17 eV per formula unit. The calculation puts the mass density at 13.4 g cm⁻³. The uncorrected energy comes out at -76.2 eV per cell.

The space group is C2/m (No. 12) and the conventional cell measures 9.008, 2.716 and 7.860 Å, with angles of 90.00, 114.25 and 90.00 degrees. The inequivalent atoms are Tc at (0.151, 0.000, 0.068), Ni at (0.000, 0.500, 0.234) and Au at (0.167, 0.000, 0.596).